First-principles (PBE-GGA) data for a relaxed structure of CuSn6Rh3, as listed in Alexandria.

Cell: 6.9500 6.6392 10.4399 Å, 90.00 119.43 90.00°
Space group P2_1/c (No. 14)
Inequivalent atoms, fractional coordinates:
Cu (0.0000, 0.0000, 0.0000) [2 per cell]
Sn (0.0841, 0.0018, 0.2747) [4 per cell]
Sn (0.2602, 0.1725, 0.6055) [4 per cell]
Sn (0.3948, 0.6461, 0.5695) [4 per cell]
Rh (0.2977, 0.6601, 0.2753) [4 per cell]
Rh (0.5000, 0.0000, 0.5000) [2 per cell]

Summary:
* D(E_F): 0.46 states/eV per atom
* formation energy: -0.25 eV/atom

First-principles (PBE-GGA) data for a relaxed structure of Dy2MnTl3S6, as listed in Alexandria.

Cell: 6.8819 11.5383 7.8780 Å, 90.00 108.06 90.00°
Space group C2/m (No. 12)
Inequivalent atoms, fractional coordinates:
Dy (0.0000, 0.1645, 0.0000) [4 per cell]
Mn (0.0000, 0.5000, 0.0000) [2 per cell]
Tl (0.0000, 0.0000, 0.5000) [2 per cell]
Tl (0.0000, 0.3277, 0.5000) [4 per cell]
S (0.2121, 0.3501, 0.1812) [8 per cell]
S (0.2420, 0.0000, 0.2151) [4 per cell]

Summary:
* D(E_F): 0.06 states/eV per atom
* energy relative to the elements, uncorrected: -1107 meV/atom

First-principles (PBE-GGA) data for a relaxed structure of Mg5Pd, as listed in Alexandria.

Cell: 4.3259 12.7021 4.3427 Å, 90.00 90.00 90.00°
Space group Cmmm (No. 65)
Inequivalent atoms, fractional coordinates:
Mg (0.0000, 0.0000, 0.0000) [2 per cell]
Mg (0.0000, 0.1557, 0.5000) [4 per cell]
Mg (0.0000, 0.3419, 0.0000) [4 per cell]
Pd (0.0000, 0.5000, 0.5000) [2 per cell]

Summary:
* D(E_F): 0.30 states/eV per atom
* formation energy: -0.24 eV/atom

First-principles (PBE-GGA) data for a relaxed structure of LaInOs3, as listed in Alexandria.

Cell: 4.8958 4.8958 4.8958 Å, 90.00 90.00 90.00°
Space group Pm-3m (No. 221)
Inequivalent atoms, fractional coordinates:
La (0.0000, 0.0000, 0.0000) [1 per cell]
In (0.5000, 0.5000, 0.5000) [1 per cell]
Os (0.0000, 0.0000, 0.5000) [3 per cell]

Summary:
* energy relative to the lowest polymorph listed for this composition: 81.04 kJ/mol of atoms
* D(E_F): 1.11 states/eV per atom
* formation energy: 2.64 eV/atom

First-principles (PBE-GGA) data for a relaxed structure of NaYAu3, as listed in Alexandria.

Cell: 4.9339 4.9339 4.9339 Å, 90.00 90.00 90.00°
Space group Pm-3m (No. 221)
Inequivalent atoms, fractional coordinates:
Na (0.0000, 0.0000, 0.0000) [1 per cell]
Y (0.5000, 0.5000, 0.5000) [1 per cell]
Au (0.0000, 0.0000, 0.5000) [3 per cell]

Summary:
* energy relative to the lowest polymorph listed for this composition: 10.93 kJ/mol of atoms
* D(E_F): 0.34 states/eV per atom
* formation energy: 0.13 eV/atom

First-principles (PBE-GGA) data for a relaxed structure of BaNbAgO4, as listed in Alexandria.

Cell: 9.2836 9.2836 9.2836 Å, 90.00 90.00 90.00°
Space group F-43m (No. 216)
Inequivalent atoms, fractional coordinates:
Ba (0.0000, 0.0000, 0.0000) [4 per cell]
Nb (0.0000, 0.0000, 0.5000) [4 per cell]
Ag (0.2500, 0.2500, 0.2500) [4 per cell]
O (0.1156, 0.1156, 0.3844) [16 per cell]

Summary:
* energy relative to the elements, uncorrected: -1685 meV/atom

First-principles (PBE-GGA) data for a relaxed structure of KCa2Cd, as listed in Alexandria.

Cell: 3.8663 3.8663 10.8228 Å, 90.00 90.00 90.00°
Space group P4/mmm (No. 123)
Inequivalent atoms, fractional coordinates:
K (0.0000, 0.0000, 0.0000) [1 per cell]
Ca (0.5000, 0.5000, 0.3267) [2 per cell]
Cd (0.0000, 0.0000, 0.5000) [1 per cell]

Summary:
* D(E_F): 0.82 states/eV per atom
* formation energy: -0.10 eV/atom

First-principles (PBE-GGA) data for a relaxed structure of LiDyYCo, as listed in Alexandria.

Cell: 6.8856 6.8856 6.8856 Å, 90.00 90.00 90.00°
Space group F-43m (No. 216)
Inequivalent atoms, fractional coordinates:
Li (0.0000, 0.0000, 0.0000) [4 per cell]
Dy (0.2500, 0.2500, 0.7500) [4 per cell]
Y (0.2500, 0.2500, 0.2500) [4 per cell]
Co (0.0000, 0.0000, 0.5000) [4 per cell]

Summary:
* D(E_F): 0.79 states/eV per atom
* formation energy: -0.07 eV/atom

First-principles (PBE-GGA) data for a relaxed structure of Li2CdSn2, as listed in Alexandria.

Cell: 4.1749 4.1749 13.1603 Å, 90.00 90.00 90.00°
Space group I4/mmm (No. 139)
Inequivalent atoms, fractional coordinates:
Li (0.0000, 0.5000, 0.2500) [4 per cell]
Cd (0.0000, 0.0000, 0.0000) [2 per cell]
Sn (0.0000, 0.0000, 0.3946) [4 per cell]

Summary:
* D(E_F): 0.40 states/eV per atom
* formation energy: -0.08 eV/atom

First-principles (PBE-GGA) data for a relaxed structure of ZnGa2AgRh, as listed in Alexandria.

Cell: 4.7263 4.7263 4.8267 Å, 90.00 90.00 90.00°
Space group P4/mmm (No. 123)
Inequivalent atoms, fractional coordinates:
Zn (0.0000, 0.0000, 0.0000) [1 per cell]
Ga (0.0000, 0.5000, 0.5000) [2 per cell]
Ag (0.5000, 0.5000, 0.0000) [1 per cell]
Rh (0.0000, 0.0000, 0.5000) [1 per cell]

Summary:
* D(E_F): 0.39 states/eV per atom
* formation energy: 0.03 eV/atom

First-principles (PBE-GGA) data for a relaxed structure of SnSbIN2, as listed in Alexandria.

Cell: 4.3133 4.3133 5.9871 Å, 90.00 90.00 90.00°
Space group P4/mmm (No. 123)
Inequivalent atoms, fractional coordinates:
Sn (0.0000, 0.0000, 0.0000) [1 per cell]
Sb (0.5000, 0.5000, 0.5000) [1 per cell]
I (0.0000, 0.0000, 0.5000) [1 per cell]
N (0.0000, 0.5000, 0.0000) [2 per cell]

Summary:
* energy relative to the lowest polymorph listed for this composition: 13.82 kJ/mol of atoms
* D(E_F): 0.66 states/eV per atom
* energy relative to the elements, uncorrected: 1433 meV/atom

First-principles (PBE-GGA) data for a relaxed structure of HfGaI2N, as listed in Alexandria.

Cell: 5.8415 5.8415 3.5040 Å, 90.00 90.00 90.00°
Space group P4/mmm (No. 123)
Inequivalent atoms, fractional coordinates:
Hf (0.0000, 0.0000, 0.0000) [1 per cell]
Ga (0.5000, 0.5000, 0.5000) [1 per cell]
I (0.0000, 0.5000, 0.5000) [2 per cell]
N (0.5000, 0.5000, 0.0000) [1 per cell]

Summary:
* energy relative to the lowest polymorph listed for this composition: 88.00 kJ/mol of atoms
* D(E_F): 0.84 states/eV per atom
* energy relative to the elements, uncorrected: 641 meV/atom